Entry from Alexandria via LeMat-Bulk: a relaxed structure of Ta2CoSi (GGA-PBE).

```
Ta2CoSi
1.0
3.658 0.000 0.000
0.000 1.676 4.859
0.000 -1.676 4.859
Ta Co Si
2 1 1
direct
0.000 0.000 0.000
0.500 0.311 0.311
0.500 0.580 0.580
0.000 0.726 0.726
```

- space group = Amm2, No. 38

=====

Entry from Alexandria via LeMat-Bulk: a relaxed structure of TaCoSi4 (GGA-PBE).

```
TaCoSi4
1.0
0.000 3.416 3.416
3.416 0.000 3.416
3.416 3.416 0.000
Ta Co Si
1 1 4
direct
0.000 0.000 0.000
0.750 0.750 0.750
0.376 0.376 0.376
0.376 0.376 0.873
0.376 0.873 0.376
0.873 0.376 0.376
```

- space group = F-43m, No. 216

=====

Entry from Alexandria via LeMat-Bulk: a relaxed structure of Ta2CoSi (GGA-PBE).

```
Ta2CoSi
1.0
-1.845 1.845 4.378
1.845 -1.845 4.378
1.845 1.845 -4.378
Ta Co Si
2 1 1
direct
0.000 0.000 0.000
0.750 0.250 0.500
0.250 0.750 0.500
0.500 0.500 0.000
```

- space group = I-4m2, No. 119

=====

Entry from Alexandria via LeMat-Bulk: a relaxed structure of TaCo2Si (GGA-PBE).

```
TaCo2Si
1.0
0.000 2.946 2.946
2.946 0.000 2.946
2.946 2.946 0.000
Ta Co Si
1 2 1
direct
0.000 0.000 0.000
0.250 0.250 0.250
0.500 0.500 0.500
0.750 0.750 0.750
```

- space group = F-43m, No. 216

=====

Entry from Alexandria via LeMat-Bulk: a relaxed structure of Ta2CoSi (GGA-PBE).

```
Ta2CoSi
1.0
0.000 3.107 3.107
3.107 0.000 3.107
3.107 3.107 0.000
Ta Co Si
2 1 1
direct
0.000 0.000 0.000
0.250 0.250 0.250
0.500 0.500 0.500
0.750 0.750 0.750
```

- space group = F-43m, No. 216

=====

Entry from Alexandria via LeMat-Bulk: a relaxed structure of TaCo6Si (GGA-PBE).

```
TaCo6Si
1.0
3.501 -5.093 0.000
3.501 5.093 0.000
0.000 0.000 10.142
Ta Co Si
4 24 4
direct
0.000 0.000 0.248
0.000 0.000 0.752
0.240 0.760 0.500
0.760 0.240 0.500
0.000 0.000 0.000
0.000 0.000 0.500
0.134 0.389 0.121
0.134 0.389 0.879
0.140 0.385 0.370
0.140 0.385 0.630
0.251 0.749 0.242
0.251 0.749 0.758
0.385 0.140 0.370
0.385 0.140 0.630
0.389 0.134 0.121
0.389 0.134 0.879
0.500 0.500 0.000
0.500 0.500 0.500
0.611 0.866 0.121
0.611 0.866 0.879
0.615 0.860 0.370
0.615 0.860 0.630
0.749 0.251 0.242
0.749 0.251 0.758
0.860 0.615 0.370
0.860 0.615 0.630
0.866 0.611 0.121
0.866 0.611 0.879
0.234 0.766 0.000
0.500 0.500 0.244
0.500 0.500 0.756
0.766 0.234 0.000
```

- space group = Cmmm, No. 65

=====

Entry from Alexandria via LeMat-Bulk: a relaxed structure of TaCo4Si (GGA-PBE).

```
TaCo4Si
1.0
0.000 3.300 3.300
3.300 0.000 3.300
3.300 3.300 0.000
Ta Co Si
1 4 1
direct
0.000 0.000 0.000
0.127 0.624 0.624
0.624 0.127 0.624
0.624 0.624 0.127
0.624 0.624 0.624
0.250 0.250 0.250
```

- space group = F-43m, No. 216

=====

Entry from Alexandria via LeMat-Bulk: a relaxed structure of TaCo2Si (GGA-PBE).

```
TaCo2Si
1.0
3.793 0.000 0.000
0.000 3.793 0.000
0.000 0.000 3.531
Ta Co Si
1 2 1
direct
0.000 0.000 0.000
0.000 0.500 0.500
0.500 0.000 0.500
0.500 0.500 0.000
```

- space group = P4/mmm, No. 123

=====

Entry from Alexandria via LeMat-Bulk: a relaxed structure of TaCo2Si (GGA-PBE).

```
TaCo2Si
1.0
-1.675 1.925 3.950
1.675 -1.925 3.950
1.675 1.925 -3.950
Ta Co Si
1 2 1
direct
0.000 0.000 0.000
0.253 0.753 0.500
0.520 0.520 0.000
0.739 0.239 0.500
```

- space group = Imm2, No. 44

=====

Entry from Alexandria via LeMat-Bulk: a relaxed structure of ThTaCo5Si2 (GGA-PBE).

```
ThTaCo5Si2
1.0
3.745 0.000 0.000
0.000 3.745 0.000
0.000 0.000 10.195
Th Ta Co Si
1 1 5 2
direct
0.000 0.000 0.000
0.000 0.000 0.500
0.000 0.500 0.337
0.000 0.500 0.663
0.500 0.000 0.337
0.500 0.000 0.663
0.500 0.500 0.000
0.500 0.500 0.218
0.500 0.500 0.782
```

- space group = P4/mmm, No. 123

=====

Entry from Alexandria via LeMat-Bulk: a relaxed structure of ThTaCo2Si2 (GGA-PBE).

```
ThTaCo2Si2
1.0
4.070 0.000 0.000
-2.035 3.524 0.000
0.000 0.000 6.897
Th Ta Co Si
1 1 2 2
direct
0.000 0.000 0.000
0.000 0.000 0.500
0.333 0.667 0.662
0.667 0.333 0.338
0.333 0.667 0.289
0.667 0.333 0.711
```

- space group = P-3m1, No. 164

=====

Entry from Alexandria via LeMat-Bulk: a relaxed structure of TaCoSiW2 (GGA-PBE).

```
TaCoSiW2
1.0
4.443 0.000 0.000
0.000 4.443 0.000
0.000 0.000 4.515
Ta Co Si W
1 1 1 2
direct
0.000 0.000 0.000
0.000 0.000 0.500
0.500 0.500 0.000
0.000 0.500 0.500
0.500 0.000 0.500
```

- space group = P4/mmm, No. 123

=====

Entry from Alexandria via LeMat-Bulk: a relaxed structure of TbCoSi2 (GGA-PBE).

```
TbCoSi2
1.0
6.748 0.000 0.000
0.000 3.948 0.000
0.000 0.000 9.786
Tb Co Si
4 4 8
direct
0.154 0.250 0.126
0.346 0.750 0.626
0.654 0.250 0.374
0.846 0.750 0.874
0.008 0.750 0.384
0.492 0.250 0.884
0.508 0.750 0.116
0.992 0.250 0.616
0.158 0.250 0.818
0.182 0.250 0.426
0.318 0.750 0.926
0.342 0.750 0.318
0.658 0.250 0.682
0.682 0.250 0.074
0.818 0.750 0.574
0.842 0.750 0.182
```

- space group = Pnma, No. 62

=====

Entry from Alexandria via LeMat-Bulk: a relaxed structure of TbCoSi2 (GGA-PBE).

```
TbCoSi2
1.0
4.034 0.000 0.000
0.000 3.989 0.000
-2.016 0.000 8.140
Tb Co Si
2 2 4
direct
0.108 0.250 0.216
0.892 0.750 0.784
0.320 0.250 0.642
0.680 0.750 0.358
0.251 0.750 0.500
0.458 0.250 0.915
0.542 0.750 0.085
0.749 0.250 0.500
```

- space group = P2_1/m, No. 11

=====

Entry from Alexandria via LeMat-Bulk: a relaxed structure of TbCo5Si2 (GGA-PBE).

```
TbCo5Si2
1.0
-1.798 3.243 4.526
1.798 -3.243 4.526
1.798 3.243 -4.526
Tb Co Si
1 5 2
direct
0.000 0.000 0.000
0.170 0.358 0.812
0.455 0.642 0.812
0.500 0.000 0.500
0.545 0.358 0.188
0.830 0.642 0.188
0.256 0.756 0.500
0.744 0.244 0.500
```

- space group = Immm, No. 71

=====

Entry from Alexandria via LeMat-Bulk: a relaxed structure of Tb3Co6Si5 (GGA-PBE).

```
Tb3Co6Si5
1.0
3.844 0.000 0.000
0.000 11.668 0.000
0.000 0.000 9.449
Tb Co Si
6 12 10
direct
0.250 0.090 0.244
0.250 0.410 0.244
0.250 0.750 0.251
0.750 0.250 0.749
0.750 0.590 0.756
0.750 0.910 0.756
0.250 0.052 0.903
0.250 0.250 0.518
0.250 0.250 0.997
0.250 0.448 0.903
0.250 0.579 0.491
0.250 0.921 0.491
0.750 0.079 0.509
0.750 0.421 0.509
0.750 0.552 0.097
0.750 0.750 0.003
0.750 0.750 0.482
0.750 0.948 0.097
0.250 0.076 0.645
0.250 0.424 0.645
0.250 0.629 0.990
0.250 0.750 0.604
0.250 0.871 0.990
0.750 0.129 0.010
0.750 0.250 0.396
0.750 0.371 0.010
0.750 0.576 0.355
0.750 0.924 0.355
```

- space group = Pmmn, No. 59

=====

Entry from Alexandria via LeMat-Bulk: a relaxed structure of Tb12Co6Si (GGA-PBE).

```
Tb12Co6Si
1.0
-4.812 4.812 4.812
4.812 -4.812 4.812
4.812 4.812 -4.812
Tb Co Si
12 6 1
direct
0.107 0.807 0.300
0.193 0.300 0.494
0.193 0.700 0.893
0.300 0.107 0.807
0.300 0.494 0.193
0.494 0.193 0.300
0.506 0.807 0.700
0.700 0.506 0.807
0.700 0.893 0.193
0.807 0.300 0.107
0.807 0.700 0.506
0.893 0.193 0.700
0.114 0.614 0.500
0.386 0.500 0.886
0.500 0.114 0.614
0.500 0.886 0.386
0.614 0.500 0.114
0.886 0.386 0.500
0.000 0.000 0.000
```

- space group = Im-3, No. 204

=====

Entry from Alexandria via LeMat-Bulk: a relaxed structure of TbCo3Si3 (GGA-PBE).

```
TbCo3Si3
1.0
3.094 1.786 6.657
-3.094 1.786 6.657
0.000 -3.572 6.657
Tb Co Si
2 6 6
direct
0.169 0.169 0.169
0.831 0.831 0.831
0.035 0.581 0.258
0.258 0.035 0.581
0.419 0.742 0.965
0.581 0.258 0.035
0.742 0.965 0.419
0.965 0.419 0.742
0.161 0.680 0.376
0.320 0.624 0.839
0.376 0.161 0.680
0.624 0.839 0.320
0.680 0.376 0.161
0.839 0.320 0.624
```

- relative energy among the computed polymorphs (meV/atom) = 0.0
- space group = R-3, No. 148

=====

Entry from Alexandria via LeMat-Bulk: a relaxed structure of TbCo3Si (GGA-PBE).

```
TbCo3Si
1.0
2.264 -8.502 0.000
2.264 8.502 0.000
0.000 0.000 4.400
Tb Co Si
2 6 2
direct
0.102 0.898 0.750
0.898 0.102 0.250
0.016 0.469 0.750
0.469 0.016 0.250
0.500 0.500 0.000
0.500 0.500 0.500
0.531 0.984 0.750
0.984 0.531 0.250
0.385 0.615 0.750
0.615 0.385 0.250
```

- space group = Cmcm, No. 63

=====

Entry from Alexandria via LeMat-Bulk: a relaxed structure of TbCo2Si (GGA-PBE).

```
TbCo2Si
1.0
3.776 0.000 0.000
0.000 3.776 0.000
0.000 0.000 8.955
Tb Co Si
2 4 2
direct
0.250 0.250 0.214
0.750 0.750 0.786
0.250 0.250 0.902
0.250 0.750 0.500
0.750 0.250 0.500
0.750 0.750 0.098
0.250 0.250 0.642
0.750 0.750 0.358
```

- space group = P4/nmm, No. 129

=====

Number 1: Fermi-level density of states 4.1 states/eV/f.u., calculated total energy -9.488 eV per atom, formation energy without anion corrections -0.429 eV per atom. Number 2: Fermi-level density of states 4.7 states/eV/f.u., calculated total energy -6.516 eV per atom, formation energy without anion corrections 0.259 eV per atom. Number 3: Fermi-level density of states 3.4 states/eV/f.u., calculated total energy -9.268 eV per atom, formation energy without anion corrections -0.210 eV per atom. Number 4: Fermi-level density of states 5.8 states/eV/f.u., calculated total energy -7.997 eV per atom, formation energy without anion corrections -0.125 eV per atom. Number 5: Fermi-level density of states 6.0 states/eV/f.u., calculated total energy -8.937 eV per atom, formation energy without anion corrections 0.122 eV per atom. Number 6: Fermi-level density of states 10.3 states/eV/f.u., calculated total energy -7.719 eV per atom, formation energy without anion corrections -0.230 eV per atom. Number 7: Fermi-level density of states 8.5 states/eV/f.u., calculated total energy -7.736 eV per atom, formation energy without anion corrections -0.119 eV per atom. Number 8: Fermi-level density of states 4.4 states/eV/f.u., calculated total energy -8.175 eV per atom, formation energy without anion corrections -0.303 eV per atom. Number 9: Fermi-level density of states 2.8 states/eV/f.u., calculated total energy -8.179 eV per atom, formation energy without anion corrections -0.307 eV per atom. Number 10: Fermi-level density of states 5.8 states/eV/f.u., calculated total energy -7.464 eV per atom, formation energy without anion corrections -0.169 eV per atom. Number 11: Fermi-level density of states 4.4 states/eV/f.u., calculated total energy -8.062 eV per atom, formation energy without anion corrections -0.673 eV per atom. Number 12: Fermi-level density of states 4.5 states/eV/f.u., calculated total energy -8.856 eV per atom, formation energy without anion corrections 1.202 eV per atom. Number 13: Fermi-level density of states 1.9 states/eV/f.u., calculated total energy -6.422 eV per atom, formation energy without anion corrections -0.777 eV per atom. Number 14: Fermi-level density of states 2.4 states/eV/f.u., calculated total energy -6.436 eV per atom, formation energy without anion corrections -0.791 eV per atom. Number 15: Fermi-level density of states 9.0 states/eV/f.u., calculated total energy -6.798 eV per atom, formation energy without anion corrections -0.422 eV per atom. Number 16: Fermi-level density of states 8.3 states/eV/f.u., calculated total energy -6.674 eV per atom, formation energy without anion corrections -0.700 eV per atom. Number 17: Fermi-level density of states 9.5 states/eV/f.u., calculated total energy -5.682 eV per atom, formation energy without anion corrections -0.228 eV per atom. Number 18: Fermi-level density of states 6.9 states/eV/f.u., calculated total energy -6.366 eV per atom, formation energy without anion corrections -0.335 eV per atom. Number 19: Fermi-level density of states 4.8 states/eV/f.u., calculated total energy -6.316 eV per atom, formation energy without anion corrections -0.042 eV per atom. Number 20: Fermi-level density of states 3.8 states/eV/f.u., calculated total energy -6.454 eV per atom, formation energy without anion corrections -0.388 eV per atom.